CdSbPb2 GGA-PBE relaxed; crystal system = cubic; E_form (uncorrected) = 0.090 eV per atom; total energy = -3.02 eV per atom; M_tot = 0.00 μB/f.u.; symmetry = Fm-3m; DOS(E_F) = 0.74 states/eV per atom
1.0
0.000 3.887 3.887
3.887 0.000 3.887
3.887 3.887 0.000
Cd Sb Pb
1 1 2
Direct
0.000 0.000 0.000
0.500 0.500 0.500
0.250 0.250 0.250
0.750 0.750 0.750